Record 1
Below is an optimized crystal structure of Ho2ErSb, with properties calculated at the PBE-GGA level.

Cell: 4.076 4.076 6.774 Å, 90.00 90.00 90.00°
Sites, in units of the cell vectors:
Sb (0.500, 0.500, 0.000)
Ho (0.000, 0.000, 0.234)
Ho (0.000, 0.000, 0.766)
Er (0.500, 0.500, 0.500)

Symmetry: No. 123
Energy relative to the lowest polymorph listed for this composition in meV per atom: 0.0
Energy relative to the elements, uncorrected in meV per atom: -471.2



Record 2
Below is an optimized crystal structure of Y2Sb2Se, with properties calculated at the PBE-GGA level.

Cell: 4.217 4.217 8.448 Å, 75.55 75.55 90.00°
Sites, in units of the cell vectors:
Se (0.000, 0.000, 0.000)
Y (0.604, 0.604, 0.792)
Y (0.396, 0.396, 0.208)
Sb (0.750, 0.250, 0.500)
Sb (0.250, 0.750, 0.500)

Symmetry: No. 139
Energy relative to the lowest polymorph listed for this composition in meV per atom: 248.1
Energy relative to the elements, uncorrected in meV per atom: -804.8



Record 3
Below is an optimized crystal structure of Tb6Os2Rh, with properties calculated at the PBE-GGA level.

Cell: 6.667 7.419 9.394 Å, 90.00 87.97 90.00°
Sites, in units of the cell vectors:
Rh (0.500, 0.500, 0.000)
Rh (0.000, 0.000, 0.500)
Tb (0.348, 0.830, 0.430)
Tb (0.664, 0.454, 0.261)
Tb (0.848, 0.670, 0.930)
Tb (0.336, 0.546, 0.739)
Tb (0.836, 0.954, 0.239)
Tb (0.672, 0.171, 0.931)
Tb (0.172, 0.329, 0.431)
Tb (0.328, 0.829, 0.069)
Tb (0.828, 0.671, 0.569)
Tb (0.652, 0.170, 0.570)
Tb (0.164, 0.046, 0.761)
Tb (0.152, 0.330, 0.070)
Os (0.965, 0.375, 0.734)
Os (0.465, 0.125, 0.234)
Os (0.035, 0.625, 0.266)
Os (0.535, 0.875, 0.766)

Symmetry: No. 14
ΔE_f in eV/atom: -0.30



Record 4
Below is an optimized crystal structure of Li3GaPd4, with properties calculated at the PBE-GGA level.

Cell: 4.254 4.254 6.723 Å, 108.45 108.45 90.08°
Sites, in units of the cell vectors:
Ga (0.500, 0.000, 0.000)
Pd (0.625, 0.625, 0.250)
Pd (0.125, 0.126, 0.250)
Pd (0.875, 0.874, 0.750)
Pd (0.375, 0.375, 0.750)
Li (0.752, 0.252, 0.504)
Li (0.248, 0.748, 0.496)
Li (0.000, 0.500, 0.000)

Symmetry: No. 69
Energy relative to the lowest polymorph listed for this composition in meV per atom: 0.0
ΔE_f in eV/atom: -0.59



Record 5
Below is an optimized crystal structure of LiCa2HfRh, with properties calculated at the PBE-GGA level.

Cell: 4.911 5.022 4.911 Å, 90.00 90.00 90.00°
Sites, in units of the cell vectors:
Ca (0.500, 0.000, 0.000)
Ca (0.000, 0.000, 0.500)
Rh (0.500, 0.500, 0.500)
Li (0.000, 0.000, 0.000)
Hf (0.000, 0.500, 0.000)

Symmetry: No. 123
ΔE_f in eV/atom: 0.90



Record 6
Below is an optimized crystal structure of La5ErSe6, with properties calculated at the PBE-GGA level.

Cell: 7.391 7.390 7.400 Å, 60.04 80.34 70.35°
Sites, in units of the cell vectors:
La (0.500, 0.500, 0.000)
La (0.000, 0.334, 0.332)
La (0.500, 0.172, 0.656)
La (0.500, 0.828, 0.344)
La (0.000, 0.666, 0.668)
Er (0.000, 0.000, 0.000)
Se (0.246, 0.238, 0.000)
Se (0.760, 0.080, 0.320)
Se (0.240, 0.920, 0.680)
Se (0.240, 0.600, 0.320)
Se (0.760, 0.400, 0.680)
Se (0.754, 0.762, 0.000)

Symmetry: No. 12
Energy relative to the elements, uncorrected in meV per atom: -1947.2



Which formula does entry 2 have? Y2Sb2Se